<1>
The following is a DFT calculation (PBE) of Sm4InPd after structural relaxation.

Structure (POSCAR):
```
Sm4InPd
1.0
-9.4558 -1.0131 2.8744
-4.5637 -8.7747 -0.9367
-2.1895 -5.3481 8.0811
Sm Pd In
16 4 4
Direct
0.3977 0.8069 0.3977
0.5582 0.9418 0.9418
0.9418 0.5582 0.9418
0.8069 0.3977 0.3977
0.1861 0.8139 0.1861
0.9418 0.5582 0.5582
0.8139 0.1861 0.1861
0.5582 0.5582 0.9418
0.5582 0.9418 0.5582
0.1861 0.1861 0.8139
0.9418 0.9418 0.5582
0.1861 0.8139 0.8139
0.8139 0.8139 0.1861
0.3977 0.3977 0.8069
0.8139 0.1861 0.8139
0.3977 0.3977 0.3977
0.6060 0.1821 0.6060
0.6060 0.6060 0.1821
0.6060 0.6060 0.6060
0.1821 0.6060 0.6060
0.4956 0.1681 0.1681
0.1681 0.4956 0.1681
0.1681 0.1681 0.1681
0.1681 0.1681 0.4956
```

Properties
**DOS at the Fermi energy**: 25.00 states/eV per cell
**Calculated volume**: 693 Å³ per cell
**Symmetry**: F-43m



<2>
The following is a DFT calculation (PBE) of Sm4InPd after structural relaxation.

Structure (POSCAR):
```
Sm4InPd
1.0
-0.9924 -3.2880 -4.8034
-5.7990 -2.3553 6.0033
-1.1108 7.7287 -3.0279
Sm Pd In
8 2 2
Direct
0.2313 0.3024 0.3759
0.9423 0.7938 0.1530
0.7687 0.6976 0.6241
0.6446 0.0735 0.3759
0.3554 0.9265 0.6241
0.2893 0.6408 0.8470
0.7107 0.3592 0.1530
0.0577 0.2062 0.8470
0.7494 0.9994 0.9988
0.2506 0.0006 0.0012
0.3688 0.6188 0.2377
0.6312 0.3812 0.7623
```

Properties
**DOS at the Fermi energy**: 15.31 states/eV per cell
**Calculated volume**: 346 Å³ per cell
**Symmetry**: C2/c



In order of decreasing stability: <1>, <2>.



<1>
The following is a DFT calculation (PBE) of Sm12InPd6 after structural relaxation.

Structure (POSCAR):
```
Sm12InPd6
1.0
8.3232 0.0000 -2.9427
-4.1616 7.2081 -2.9427
0.0000 0.0000 8.8281
Sm Pd In
12 6 1
Direct
0.1837 0.2987 0.4824
0.5176 0.8163 0.7013
0.7013 0.5176 0.8163
0.2987 0.1150 0.8163
0.8163 0.7013 0.5176
0.8163 0.2987 0.1150
0.2987 0.4824 0.1837
0.4824 0.1837 0.2987
0.1837 0.7013 0.8850
0.8850 0.1837 0.7013
0.1150 0.8163 0.2987
0.7013 0.8850 0.1837
0.8655 0.3655 0.5000
0.6345 0.5000 0.1345
0.5000 0.8655 0.3655
0.1345 0.6345 0.5000
0.5000 0.1345 0.6345
0.3655 0.5000 0.8655
0.0000 0.0000 0.0000
```

Properties
**DOS at the Fermi energy**: 14.70 states/eV per cell
**Calculated volume**: 530 Å³ per cell
**Symmetry**: Im-3



<2>
The following is a DFT calculation (PBE) of Sm12InPd6 after structural relaxation.

Structure (POSCAR):
```
Sm12InPd6
1.0
8.7754 -0.8707 -1.0431
-2.1910 8.5419 -1.0431
-2.1910 -2.5527 8.2181
Sm Pd In
12 6 1
Direct
0.8528 0.6165 0.5560
0.6762 0.9684 0.1426
0.8574 0.3238 0.0316
0.3238 0.0316 0.8574
0.0316 0.8574 0.3238
0.9684 0.1426 0.6762
0.6165 0.5560 0.8528
0.1472 0.3835 0.4440
0.1426 0.6762 0.9684
0.5560 0.8528 0.6165
0.4440 0.1472 0.3835
0.3835 0.4440 0.1472
0.3524 0.7100 0.7815
0.7100 0.7815 0.3524
0.7815 0.3524 0.7100
0.6476 0.2900 0.2185
0.2185 0.6476 0.2900
0.2900 0.2185 0.6476
0.0000 0.0000 0.0000
```

Properties
**DOS at the Fermi energy**: 17.14 states/eV per cell
**Calculated volume**: 550 Å³ per cell
**Symmetry**: R-3



In order of decreasing stability: <1>, <2>.



<1>
The following is a DFT calculation (PBE) of In2SnPd8 after structural relaxation.

Structure (POSCAR):
```
In2SnPd8
1.0
3.9571 0.0000 -1.2043
-1.1135 6.4421 -3.6588
0.1286 -0.0597 7.5259
In Pd Sn
2 8 1
Direct
0.8345 0.3345 0.6691
0.1655 0.6655 0.3309
0.8330 0.8330 0.6661
0.0000 0.2564 0.0000
0.1670 0.1670 0.3339
0.3361 0.5829 0.6722
0.6639 0.9107 0.3278
0.3361 0.0893 0.6722
0.6639 0.4171 0.3278
0.0000 0.7436 0.0000
0.5000 0.0000 0.0000
```

Properties
**DOS at the Fermi energy**: 3.80 states/eV per cell
**Calculated volume**: 192 Å³ per cell
**Symmetry**: Immm



<2>
The following is a DFT calculation (PBE) of In2SnPd8 after structural relaxation.

Structure (POSCAR):
```
In2SnPd8
1.0
4.1706 0.0000 0.0000
0.0000 6.3134 0.3132
-2.0853 -2.2978 6.8657
Pd In Sn
8 2 1
Direct
0.8520 0.7984 0.7040
0.4077 0.5436 0.8155
0.3253 0.0829 0.6506
0.0371 0.7335 0.0743
0.1480 0.2016 0.2960
0.9629 0.2665 0.9257
0.6747 0.9171 0.3494
0.5923 0.4564 0.1845
0.2162 0.6578 0.4323
0.7838 0.3422 0.5677
0.5000 0.0000 0.0000
```

Properties
**DOS at the Fermi energy**: 4.27 states/eV per cell
**Calculated volume**: 184 Å³ per cell
**Symmetry**: C2/m



In order of decreasing stability: <2>, <1>.



<1>
The following is a DFT calculation (PBE) of In2Sn2Pd after structural relaxation.

Structure (POSCAR):
```
In2Sn2Pd
1.0
-5.8854 3.2479 -2.0972
-2.6119 -6.1565 -2.2045
-2.0926 -0.7816 4.6620
Pd In Sn
2 4 4
Direct
0.0000 0.0000 0.0000
0.5000 0.5000 0.0000
0.6679 0.8321 0.5000
0.3321 0.1679 0.5000
0.1679 0.6679 0.5000
0.8321 0.3321 0.5000
0.1508 0.3492 0.0000
0.3492 0.8492 0.0000
0.6508 0.1508 0.0000
0.8492 0.6508 0.0000
```

Properties
**DOS at the Fermi energy**: 3.69 states/eV per cell
**Calculated volume**: 256 Å³ per cell
**Symmetry**: P4/mbm



<2>
The following is a DFT calculation (PBE) of In2Sn2Pd after structural relaxation.

Structure (POSCAR):
```
In2Sn2Pd
1.0
4.6732 0.0000 -0.7172
-0.1101 4.6719 -0.7172
-0.5978 -0.6121 11.6878
In Sn Pd
4 4 2
Direct
0.9337 0.4337 0.8675
0.5663 0.0663 0.1325
0.6837 0.6837 0.3675
0.3163 0.3163 0.6325
0.0778 0.5778 0.1557
0.4222 0.9222 0.8443
0.8278 0.8278 0.6557
0.1722 0.1722 0.3443
0.7500 0.2500 0.5000
0.5000 0.5000 0.0000
```

Properties
**DOS at the Fermi energy**: 3.84 states/eV per cell
**Calculated volume**: 251 Å³ per cell
**Symmetry**: I4_1/amd



<3>
The following is a DFT calculation (PBE) of In2Sn2Pd after structural relaxation.

Structure (POSCAR):
```
In2Sn2Pd
1.0
-2.4150 -6.6037 -1.0532
5.6320 -2.6123 3.4651
-2.5343 0.2409 4.3008
Pd Sn In
2 4 4
Direct
0.0000 0.0000 0.0000
0.5000 0.5000 0.0000
0.8353 0.3353 0.5000
0.3353 0.1647 0.5000
0.6647 0.8353 0.5000
0.1647 0.6647 0.5000
0.1507 0.3493 0.0000
0.8493 0.6507 0.0000
0.3493 0.8493 0.0000
0.6507 0.1507 0.0000
```

Properties
**DOS at the Fermi energy**: 2.63 states/eV per cell
**Calculated volume**: 253 Å³ per cell
**Symmetry**: P4/mbm



In order of decreasing stability: <2>, <1>, <3>.



<1>
The following is a DFT calculation (PBE) of InSn2Pd5 after structural relaxation.

Structure (POSCAR):
```
InSn2Pd5
1.0
-2.0953 1.8287 -1.2438
-5.0825 -7.0670 1.9025
-2.3077 4.4790 10.4726
Pd In Sn
10 2 4
Direct
0.0073 0.0146 0.3712
0.1333 0.2665 0.7500
0.2604 0.5207 0.1115
0.7396 0.4793 0.6115
0.9927 0.9854 0.6288
0.9927 0.9854 0.8712
0.0073 0.0146 0.1288
0.8667 0.7335 0.2500
0.2604 0.5207 0.3885
0.7396 0.4793 0.8885
0.1372 0.2744 0.2500
0.8628 0.7256 0.7500
0.8742 0.7485 0.0173
0.1258 0.2515 0.9827
0.8742 0.7485 0.4827
0.1258 0.2515 0.5173
```

Properties
**DOS at the Fermi energy**: 8.15 states/eV per cell
**Calculated volume**: 311 Å³ per cell
**Symmetry**: Cmcm



<2>
The following is a DFT calculation (PBE) of InSn2Pd5 after structural relaxation.

Structure (POSCAR):
```
InSn2Pd5
1.0
4.6187 0.0000 -1.2696
-0.3518 4.6034 -1.2795
-0.5648 -0.6231 6.9812
Pd Sn In
5 2 1
Direct
0.8743 0.3712 0.7486
0.5000 0.5000 0.0000
0.6257 0.1263 0.2514
0.3743 0.8737 0.7486
0.1257 0.6288 0.2514
0.7353 0.7354 0.4706
0.2647 0.2646 0.5294
0.0000 0.0000 0.0000
```

Properties
**DOS at the Fermi energy**: 5.24 states/eV per cell
**Calculated volume**: 141 Å³ per cell
**Symmetry**: C2/m



In order of decreasing stability: <2>, <1>.



<1>
The following is a DFT calculation (PBE) of InSnPd3 after structural relaxation.

Structure (POSCAR):
```
InSnPd3
1.0
-0.5638 2.0450 -4.4722
3.5849 -2.9105 -1.7828
-3.3663 -3.4420 -1.1496
Pd In Sn
3 1 1
Direct
0.0000 0.0000 0.5000
0.5000 0.0000 0.0000
0.0000 0.5000 0.0000
0.5000 0.5000 0.5000
0.0000 0.0000 0.0000
```

Properties
**DOS at the Fermi energy**: 3.21 states/eV per cell
**Calculated volume**: 121 Å³ per cell
**Symmetry**: Pm-3m



<2>
The following is a DFT calculation (PBE) of InSnPd3 after structural relaxation.

Structure (POSCAR):
```
InSnPd3
1.0
4.0982 0.0000 0.0000
-2.0491 4.9189 -0.7756
0.0000 0.6532 8.6681
Pd In Sn
6 2 2
Direct
0.2497 0.4995 0.7499
0.4427 0.8854 0.1455
0.7503 0.5005 0.2501
0.9336 0.8672 0.6398
0.0664 0.1328 0.3602
0.5573 0.1146 0.8545
0.1442 0.2885 0.0598
0.8558 0.7115 0.9402
0.6435 0.2869 0.5679
0.3565 0.7131 0.4321
```

Properties
**DOS at the Fermi energy**: 2.74 states/eV per cell
**Calculated volume**: 177 Å³ per cell
**Symmetry**: C2/m



<3>
The following is a DFT calculation (PBE) of InSnPd3 after structural relaxation.

Structure (POSCAR):
```
InSnPd3
1.0
-4.2614 -5.4202 -2.4306
4.3536 -4.5258 2.4596
-3.7243 -0.0154 6.5639
In Sn Pd
4 4 12
Direct
0.5000 0.0000 0.5000
0.5000 0.0000 0.0000
0.0000 0.5000 0.0000
0.0000 0.5000 0.5000
0.8494 0.9190 0.7500
0.1506 0.0810 0.2500
0.3494 0.5810 0.7500
0.6506 0.4190 0.2500
0.1547 0.8588 0.5530
0.6264 0.2715 0.7500
0.8736 0.7715 0.2500
0.3453 0.3588 0.0530
0.3736 0.7285 0.2500
0.8453 0.1412 0.0530
0.6547 0.6412 0.9470
0.8453 0.1412 0.4470
0.1264 0.2285 0.7500
0.1547 0.8588 0.9470
0.6547 0.6412 0.5530
0.3453 0.3588 0.4470
```

Properties
**DOS at the Fermi energy**: 7.12 states/eV per cell
**Calculated volume**: 372 Å³ per cell
**Symmetry**: Pnma



In order of decreasing stability: <2>, <3>, <1>.



<1>
The following is a DFT calculation (PBE) of InSnPd6 after structural relaxation.

Structure (POSCAR):
```
InSnPd6
1.0
7.0808 0.3628 -0.1900
3.8533 6.5887 -0.0305
3.5354 2.4008 2.9846
Pd In Sn
6 1 1
Direct
0.2495 0.0581 0.2474
0.9426 0.4471 0.8610
0.5548 0.7498 0.6346
0.4452 0.2502 0.3654
0.0574 0.5529 0.1390
0.7505 0.9419 0.7526
0.0000 0.0000 0.0000
0.5000 0.5000 0.5000
```

Properties
**DOS at the Fermi energy**: 3.50 states/eV per cell
**Calculated volume**: 138 Å³ per cell
**Symmetry**: P-1



<2>
The following is a DFT calculation (PBE) of InSnPd6 after structural relaxation.

Structure (POSCAR):
```
InSnPd6
1.0
4.0415 0.0000 0.0000
0.0000 4.0415 0.0000
0.0000 0.0000 8.0667
Pd Sn In
6 1 1
Direct
0.5000 0.5000 0.5000
0.5000 0.0000 0.2520
0.0000 0.5000 0.7480
0.5000 0.0000 0.7480
0.0000 0.5000 0.2520
0.5000 0.5000 0.0000
0.0000 0.0000 0.5000
0.0000 0.0000 0.0000
```

Properties
**DOS at the Fermi energy**: 4.54 states/eV per cell
**Calculated volume**: 132 Å³ per cell
**Symmetry**: P4/mmm



In order of decreasing stability: <2>, <1>.



<1>
The following is a DFT calculation (PBE) of Sr3InPd3 after structural relaxation.

Structure (POSCAR):
```
Sr3InPd3
1.0
-2.6477 -1.3205 -3.3503
-2.8260 -0.5717 5.4404
-5.2337 13.7303 -1.2757
Pd In Sr
6 2 6
Direct
0.7863 0.5727 0.7500
0.9210 0.8419 0.9100
0.0790 0.1581 0.0900
0.2137 0.4273 0.2500
0.9210 0.8419 0.5900
0.0790 0.1581 0.4100
0.5000 0.0000 0.0000
0.5000 0.0000 0.5000
0.5130 0.0260 0.2500
0.2092 0.4184 0.8939
0.7908 0.5816 0.1061
0.4870 0.9740 0.7500
0.2092 0.4184 0.6061
0.7908 0.5816 0.3939
```

Properties
**DOS at the Fermi energy**: 7.19 states/eV per cell
**Calculated volume**: 378 Å³ per cell
**Symmetry**: Cmcm



<2>
The following is a DFT calculation (PBE) of Sr3InPd3 after structural relaxation.

Structure (POSCAR):
```
Sr3InPd3
1.0
-1.2757 2.2198 -5.5530
-6.9909 -6.0152 -0.7985
-1.4863 8.3614 3.6839
In Pd Sr
2 6 6
Direct
0.2500 0.6667 0.3333
0.7500 0.3333 0.6667
0.7500 0.6303 0.9436
0.2500 0.9436 0.3133
0.2500 0.6867 0.6303
0.2500 0.3697 0.0564
0.7500 0.0564 0.6867
0.7500 0.3133 0.3697
0.2500 0.3041 0.3613
0.2500 0.0571 0.6959
0.7500 0.6959 0.6387
0.7500 0.9429 0.3041
0.2500 0.6387 0.9429
0.7500 0.3613 0.0571
```

Properties
**DOS at the Fermi energy**: 6.88 states/eV per cell
**Calculated volume**: 454 Å³ per cell
**Symmetry**: P6_3/m



In order of decreasing stability: <1>, <2>.



<1>
The following is a DFT calculation (PBE) of Sr3InPd after structural relaxation.

Structure (POSCAR):
```
Sr3InPd
1.0
5.8630 0.0000 0.0000
0.0000 5.8630 0.0000
0.0000 0.0000 5.8630
In Sr Pd
1 3 1
Direct
0.5000 0.5000 0.5000
0.0000 0.5000 0.0000
0.5000 0.0000 0.0000
0.0000 0.0000 0.5000
0.0000 0.0000 0.0000
```

Properties
**DOS at the Fermi energy**: 5.01 states/eV per cell
**Calculated volume**: 202 Å³ per cell
**Symmetry**: Pm-3m



<2>
The following is a DFT calculation (PBE) of Sr3InPd after structural relaxation.

Structure (POSCAR):
```
Sr3InPd
1.0
4.3333 0.0000 1.2101
1.6655 8.3760 2.3998
-0.4417 0.3140 9.9452
In Sr Pd
2 6 2
Direct
0.5658 0.2949 0.5734
0.4342 0.7051 0.4266
0.4079 0.2356 0.9485
0.5921 0.7644 0.0515
0.8630 0.5622 0.7117
0.1370 0.4378 0.2883
0.8285 0.0295 0.3134
0.1715 0.9705 0.6866
0.2322 0.6055 0.9302
0.7678 0.3945 0.0698
```

Properties
**DOS at the Fermi energy**: 6.17 states/eV per cell
**Calculated volume**: 363 Å³ per cell
**Symmetry**: C2/m



In order of decreasing stability: <2>, <1>.